Below is a geometry-optimized AgWF3 structure, with properties calculated at the PBE+U level.

The structure in CIF format:
```
data_AgWF3
_cell_length_a 4.397
_cell_length_b 4.397
_cell_length_c 4.397
_cell_angle_alpha 90.00
_cell_angle_beta 90.00
_cell_angle_gamma 90.00
_space_group_name_H-M_alt 'P m -3 m'
_space_group_IT_number 221
_space_group_name_Hall '-P 4 2 3'
loop_
_atom_site_label
_atom_site_fract_x
_atom_site_fract_y
_atom_site_fract_z
Ag1 0.000 0.000 0.000
W1 0.500 0.500 0.500
F1 0.000 0.000 0.500
```

## Properties
Energy relative to the lowest polymorph listed for this composition ... 1.182 eV per atom
Uncorrected energy ... -3.51 eV per atom
Volume ... 17.0 Å³ per atom
M_tot ... 4.56 μB per cell